Here is a relaxed structure of SrNi from the Alexandria database. Energies are from PBE.

Values from the calculation:
For the total energy, the calculation gives -3.690 eV per atom. The formation energy from the elements comes out at 0.04 eV per atom. As for the total magnetization: 0.00 μB/cell.

Structure (POSCAR):
```
SrNi
1.0
5.980 0.000 0.000
0.000 6.325 0.000
0.000 0.000 10.723
Sr Ni
8 8
Direct
0.111 0.081 0.466
0.141 0.654 0.679
0.359 0.346 0.179
0.389 0.919 0.966
0.611 0.419 0.534
0.641 0.846 0.321
0.859 0.154 0.821
0.889 0.581 0.034
0.091 0.580 0.373
0.151 0.841 0.222
0.349 0.159 0.722
0.409 0.420 0.873
0.591 0.920 0.627
0.651 0.659 0.778
0.849 0.341 0.278
0.909 0.080 0.127
```

***

Here is a relaxed structure of SrNi from the Alexandria database. Energies are from PBE.

Values from the calculation:
For the total energy, the calculation gives -2.992 eV per atom. The formation energy from the elements comes out at 0.74 eV per atom. As for the total magnetization: 0.13 μB/cell.

Structure (POSCAR):
```
SrNi
1.0
0.000 3.284 3.284
3.284 0.000 3.284
3.284 3.284 0.000
Sr Ni
1 1
Direct
0.000 0.000 0.000
0.250 0.250 0.250
```

***

Here is a relaxed structure of SrNi4 from the Alexandria database. Energies are from PBE.

Values from the calculation:
For the total energy, the calculation gives -4.772 eV per atom. The formation energy from the elements comes out at 0.19 eV per atom. As for the total magnetization: 5.63 μB/cell.

Structure (POSCAR):
```
SrNi4
1.0
-4.289 4.289 4.289
4.289 -4.289 4.289
4.289 4.289 -4.289
Sr Ni
4 16
Direct
0.000 0.000 0.448
0.000 0.448 0.000
0.448 0.000 0.000
0.552 0.552 0.552
0.000 0.000 0.808
0.000 0.359 0.359
0.000 0.641 0.641
0.000 0.808 0.000
0.192 0.192 0.192
0.250 0.500 0.750
0.250 0.750 0.500
0.359 0.000 0.359
0.359 0.359 0.000
0.500 0.250 0.750
0.500 0.750 0.250
0.641 0.000 0.641
0.641 0.641 0.000
0.750 0.250 0.500
0.750 0.500 0.250
0.808 0.000 0.000
```

***

Here is a relaxed structure of Sr3Ni5 from the Alexandria database. Energies are from PBE.

Values from the calculation:
For the total energy, the calculation gives -3.859 eV per atom. The formation energy from the elements comes out at 0.38 eV per atom. As for the total magnetization: 0.00 μB/cell.

Structure (POSCAR):
```
Sr3Ni5
1.0
3.430 -4.987 0.000
3.430 4.987 0.000
0.000 0.000 4.634
Sr Ni
3 5
Direct
0.000 0.000 0.000
0.250 0.750 0.500
0.750 0.250 0.500
0.000 0.500 0.000
0.319 0.319 0.500
0.500 0.000 0.000
0.500 0.500 0.000
0.681 0.681 0.500
```

***

Here is a relaxed structure of Sr2Ni7 from the Alexandria database. Energies are from PBE.

Values from the calculation:
For the total energy, the calculation gives -4.882 eV per atom. The formation energy from the elements comes out at -0.01 eV per atom. As for the total magnetization: 5.10 μB/cell.

Structure (POSCAR):
```
Sr2Ni7
1.0
2.567 1.482 12.158
-2.567 1.482 12.158
0.000 -2.964 12.158
Sr Ni
4 14
Direct
0.051 0.051 0.051
0.148 0.148 0.148
0.852 0.852 0.852
0.949 0.949 0.949
0.000 0.500 0.500
0.112 0.605 0.605
0.279 0.279 0.279
0.387 0.387 0.387
0.395 0.395 0.888
0.395 0.888 0.395
0.500 0.000 0.500
0.500 0.500 0.000
0.500 0.500 0.500
0.605 0.112 0.605
0.605 0.605 0.112
0.613 0.613 0.613
0.721 0.721 0.721
0.888 0.395 0.395
```

***

Here is a relaxed structure of SrNi2 from the Alexandria database. Energies are from PBE.

Values from the calculation:
For the total energy, the calculation gives -4.371 eV per atom. The formation energy from the elements comes out at 0.04 eV per atom. As for the total magnetization: 0.94 μB/cell.

Structure (POSCAR):
```
SrNi2
1.0
-2.098 2.098 6.885
2.098 -2.098 6.885
2.098 2.098 -6.885
Sr Ni
2 4
Direct
0.375 0.625 0.750
0.625 0.375 0.250
0.040 0.790 0.250
0.210 0.960 0.250
0.790 0.040 0.750
0.960 0.210 0.750
```